Entry 1:
VASP calculation (GGA-PBE) on a geometry-optimized SrAc3Pb2 structure.

Output
* volume: 487 Å³/cell
* uncorrected energy: -0.2864 Ry per atom
* total moment: 0.0 μB per cell

Cell: 5.0200 11.5351 10.6743 Å, 125.16 90.00 102.57°
Last column: nearest neighbours and their distance in Å.
Atoms (fractional coordinates):
Sr: 0.8900 0.7799 0.8985  6 Pb 3.50-3.73, 1 Ac 3.91
Sr: 0.1100 0.2201 0.1015  6 Pb 3.50-3.73, 1 Ac 3.91
Ac: 0.3062 0.6123 0.4952  3 Pb 3.46-3.63, 4 Ac 3.61-3.74
Ac: 0.9502 0.9004 0.5888  3 Pb 3.38-3.78, 3 Ac 3.69-3.74
Ac: 0.6485 0.2970 0.8172  4 Pb 3.53-3.63
Ac: 0.3515 0.7030 0.1828  4 Pb 3.53-3.63
Ac: 0.0498 0.0996 0.4112  3 Pb 3.38-3.78, 3 Ac 3.69-3.74
Ac: 0.6938 0.3877 0.5048  3 Pb 3.46-3.63, 4 Ac 3.61-3.74
Pb: 0.4945 0.9889 0.8417  1 Pb 3.24, 2 Ac 3.38, 2 Sr 3.50
Pb: 0.5055 0.0111 0.1583  1 Pb 3.24, 2 Ac 3.38, 2 Sr 3.50
Pb: 0.7547 0.5093 0.2256  6 Ac 3.46-3.78, 2 Sr 3.68
Pb: 0.2453 0.4907 0.7744  6 Ac 3.46-3.78, 2 Sr 3.68

=====

Entry 2:
VASP calculation (GGA-PBE) on a geometry-optimized Mo2IrOs structure.

Output
* volume: 60 Å³/cell
* energy relative to the lowest polymorph listed for this composition: 11.89 kJ per mole of atoms
* total moment: 0.0 μB per cell

Cell: 4.8339 4.8339 4.7944 Å, 80.55 80.55 33.11°
Last column: nearest neighbours and their distance in Å.
Atoms (fractional coordinates):
Ir: 0.2500 0.2500 0.2500  2 Ir 2.75, 4 Os 2.76, 6 Mo 2.78-2.79
Mo: 0.9992 0.9992 0.9987  6 Mo 2.75-2.78, 3 Os 2.77-2.79, 3 Ir 2.78-2.79
Mo: 0.5008 0.5008 0.5013  6 Mo 2.75-2.78, 3 Os 2.77-2.79, 3 Ir 2.78-2.79
Os: 0.7500 0.7500 0.7500  2 Os 2.75, 4 Ir 2.76, 6 Mo 2.77-2.79

=====

Entry 3:
VASP calculation (GGA-PBE) on a geometry-optimized PuZr2Bi2 structure.

Output
* volume: 271 Å³/cell
* uncorrected energy: -0.5713 Ry per atom
* total moment: 0.0 μB per cell

Cell: 9.3730 9.3730 3.6211 Å, 99.24 99.24 116.39°
Last column: nearest neighbours and their distance in Å.
Atoms (fractional coordinates):
Pu: 0.0459 0.9541 0.2500  2 Pu 2.33
Pu: 0.9541 0.0459 0.7500  2 Pu 2.33
Zr: 0.8425 0.6644 0.4655  2 Pu 2.86-3.18, 3 Bi 2.98-3.11
Zr: 0.3356 0.1575 0.0345  2 Pu 2.86-3.18, 3 Bi 2.98-3.11
Zr: 0.6644 0.8425 0.9655  2 Pu 2.86-3.18, 3 Bi 2.98-3.11
Zr: 0.1575 0.3356 0.5345  2 Pu 2.86-3.18, 3 Bi 2.98-3.11
Bi: 0.4084 0.5916 0.2500  4 Zr 2.98-3.01
Bi: 0.7819 0.2181 0.2500  2 Zr 3.11, 2 Pu 3.29
Bi: 0.2181 0.7819 0.7500  2 Zr 3.11, 2 Pu 3.29
Bi: 0.5916 0.4084 0.7500  4 Zr 2.98-3.01

=====

Entry 4:
VASP calculation (GGA-PBE) on a geometry-optimized CaVBr3 structure.

Output
* volume: 143 Å³/cell
* formation energy from raw total energies: -787.5 meV per atom
* energy relative to the lowest polymorph listed for this composition: 0.00 kJ per mole of atoms
* total moment: 3.7 μB per cell

Cell: 5.2272 5.2272 5.2272 Å, 90.00 90.00 90.00°
Last column: nearest neighbours and their distance in Å.
Atoms (fractional coordinates):
Ca: 0.5000 0.5000 0.5000  12 Br 3.70
Br: 0.0000 0.5000 0.0000  2 V 2.61
Br: 0.0000 0.0000 0.5000  2 V 2.61
Br: 0.5000 0.0000 0.0000  2 V 2.61
V: 0.0000 0.0000 0.0000  6 Br 2.61